Material: ReIr2W
Method: DFT, PBE
State: optimized geometry

abc: 3.3553 3.3553 5.4686
angles: 90.00 90.00 90.00
Sites, in units of the cell vectors:
Re: 0.5000 0.5000 0.2500
Ir: 0.0000 0.0000 0.0020
Ir: 0.0000 0.0000 0.4980
W: 0.5000 0.5000 0.7500

Output
N(E_F) = 6.2 states/eV/f.u.
DFT formation energy = 84 kJ/mol of formula units
Spin magnetization = 0.000 μB/cell
Energy above the most stable polymorph in this dataset = 538.8 meV/atom

Material: ReIr2W
Method: DFT, PBE
State: optimized geometry

abc: 4.4207 4.4207 4.4207
angles: 60.00 60.00 60.00
Sites, in units of the cell vectors:
W: 0.7500 0.7500 0.7500
Ir: 0.0000 0.0000 0.0000
Ir: 0.2500 0.2500 0.2500
Re: 0.5000 0.5000 0.5000

Output
N(E_F) = 3.0 states/eV/f.u.
DFT formation energy = 96 kJ/mol of formula units
Spin magnetization = 0.000 μB/cell
Energy above the most stable polymorph in this dataset = 571.0 meV/atom

Material: ReIrW
Method: DFT, PBE
State: optimized geometry

abc: 6.2888 6.2888 2.7607
angles: 77.32 77.32 25.36
Sites, in units of the cell vectors:
Re: 0.3376 0.3376 0.6624
Ir: 0.9968 0.9968 0.0032
W: 0.6656 0.6656 0.3344

Output
N(E_F) = 2.7 states/eV/f.u.
DFT formation energy = -19 kJ/mol of formula units
Spin magnetization = 0.000 μB/cell
Energy above the most stable polymorph in this dataset = 102.0 meV/atom

| no. | total DFT energy (no corrections) (eV per atom) |
| --- | --- |
| 1 | -10.56 |
| 2 | -10.53 |
| 3 | -11.49 |